(1)
# Ca2TaAgSe GGA-PBE optimized geometry
# Formation energy without anion corrections ... 813 meV/atom
# Density of states at the Fermi level ... 0.4313 states/eV per atom
# DFT total energy ... -3.63 eV/atom
data_Ca2TaAgSe
_space_group_name_H-M_alt 'P 4/m m m'
_space_group_IT_number 123
_space_group_name_Hall '-P 4 2'
_cell_length_a 5.619
_cell_length_b 5.619
_cell_length_c 4.981
_cell_angle_alpha 90.00
_cell_angle_beta 90.00
_cell_angle_gamma 90.00
loop_
_atom_site_label
_atom_site_fract_x
_atom_site_fract_y
_atom_site_fract_z
_atom_site_occupancy
Ca1 0.000 0.500 0.000 1
Ta1 0.000 0.000 0.500 1
Ag1 0.500 0.500 0.000 1
Se1 0.500 0.500 0.500 1

=====

(2)
# K2TiRu2 GGA-PBE optimized geometry
# Energy of formation ... 1535 meV/atom
# Density of states at the Fermi level ... 1.1844 states/eV per atom
# DFT total energy ... -4.19 eV/atom
data_K2TiRu2
_space_group_name_H-M_alt 'P 4/m b m'
_space_group_IT_number 127
_space_group_name_Hall '-P 4 2ab'
_cell_length_a 9.241
_cell_length_b 9.241
_cell_length_c 2.555
_cell_angle_alpha 90.00
_cell_angle_beta 90.00
_cell_angle_gamma 90.00
loop_
_atom_site_label
_atom_site_fract_x
_atom_site_fract_y
_atom_site_fract_z
_atom_site_occupancy
K1 0.110 0.390 0.000 1
Ti1 0.000 0.000 0.000 1
Ru1 0.193 0.693 0.500 1

=====

(3)
# HgTeS4 GGA-PBE optimized geometry
# Formation energy without anion corrections ... 130 meV/atom
# Density of states at the Fermi level ... 0.4107 states/eV per atom
# DFT total energy ... -3.20 eV/atom
data_HgTeS4
_space_group_name_H-M_alt 'P 1 2/m 1'
_space_group_IT_number 10
_space_group_name_Hall '-P 2y'
_cell_length_a 6.289
_cell_length_b 4.024
_cell_length_c 6.768
_cell_angle_alpha 90.00
_cell_angle_beta 113.64
_cell_angle_gamma 90.00
loop_
_atom_site_label
_atom_site_fract_x
_atom_site_fract_y
_atom_site_fract_z
_atom_site_occupancy
Hg1 0.000 0.000 0.000 1
Te1 0.000 0.500 0.500 1
S1 0.224 0.000 0.783 1
S2 0.350 0.500 0.364 1

=====

(4)
# YHoTmTh2 GGA-PBE optimized geometry
# Energy of formation ... 434 meV/atom
# Density of states at the Fermi level ... 1.3827 states/eV per atom
# DFT total energy ... -5.64 eV/atom
data_YHoTmTh2
_space_group_name_H-M_alt 'C m c m'
_space_group_IT_number 63
_space_group_name_Hall '-C 2c 2'
_cell_length_a 6.622
_cell_length_b 15.608
_cell_length_c 6.625
_cell_angle_alpha 90.00
_cell_angle_beta 90.00
_cell_angle_gamma 90.00
loop_
_atom_site_label
_atom_site_fract_x
_atom_site_fract_y
_atom_site_fract_z
_atom_site_occupancy
Y1 0.000 0.153 0.250 1
Ho1 0.000 0.248 0.750 1
Tm1 0.000 0.349 0.250 1
Th1 0.250 0.000 0.000 1

=====

(5)
# Pm3TeP2Rh9 GGA-PBE optimized geometry
# Formation energy without anion corrections ... -647 meV/atom
# Density of states at the Fermi level ... 0.5435 states/eV per atom
# DFT total energy ... -6.94 eV/atom
data_Pm3TeP2Rh9
_space_group_name_H-M_alt 'P -3 m 1'
_space_group_IT_number 164
_space_group_name_Hall '-P 3 2"'
_cell_length_a 6.1034
_cell_length_b 6.1034
_cell_length_c 9.1897
_cell_angle_alpha 90.00
_cell_angle_beta 90.00
_cell_angle_gamma 120.00
loop_
_atom_site_label
_atom_site_fract_x
_atom_site_fract_y
_atom_site_fract_z
_atom_site_occupancy
Pm1 0.0000 0.0000 0.0000 1
Pm2 0.3333 0.6667 0.7081 1
Te1 0.0000 0.0000 0.5000 1
P1 0.3333 0.6667 0.1591 1
Rh1 0.0000 0.5000 0.0000 1
Rh2 0.1528 0.3056 0.2761 1

=====

(6)
# Al2IrOs GGA-PBE optimized geometry
# Energy of formation ... -705 meV/atom
# Density of states at the Fermi level ... 0.4575 states/eV per atom
# DFT total energy ... -7.60 eV/atom
data_Al2IrOs
_space_group_name_H-M_alt 'F m -3 m'
_space_group_IT_number 225
_space_group_name_Hall '-F 4 2 3'
_cell_length_a 6.027
_cell_length_b 6.027
_cell_length_c 6.027
_cell_angle_alpha 90.00
_cell_angle_beta 90.00
_cell_angle_gamma 90.00
loop_
_atom_site_label
_atom_site_fract_x
_atom_site_fract_y
_atom_site_fract_z
_atom_site_occupancy
Al1 0.250 0.250 0.250 1
Ir1 0.000 0.000 0.000 1
Os1 0.000 0.000 0.500 1

=====

(7)
# Mg2TaCo GGA-PBE optimized geometry
# Energy of formation ... 303 meV/atom
# Density of states at the Fermi level ... 0.8421 states/eV per atom
# DFT total energy ... -5.23 eV/atom
data_Mg2TaCo
_space_group_name_H-M_alt 'P 1 2/m 1'
_space_group_IT_number 10
_space_group_name_Hall '-P 2y'
_cell_length_a 2.828
_cell_length_b 4.555
_cell_length_c 5.265
_cell_angle_alpha 90.00
_cell_angle_beta 104.78
_cell_angle_gamma 90.00
loop_
_atom_site_label
_atom_site_fract_x
_atom_site_fract_y
_atom_site_fract_z
_atom_site_occupancy
Mg1 0.167 0.000 0.267 1
Ta1 0.500 0.500 0.000 1
Co1 0.000 0.500 0.500 1

=====

(8)
# Pr6P2PdS3 GGA-PBE optimized geometry
# Formation energy without anion corrections ... -1643 meV/atom
# Density of states at the Fermi level ... 0.4833 states/eV per atom
# DFT total energy ... -6.40 eV/atom
data_Pr6P2PdS3
_space_group_name_H-M_alt 'C 1 2/m 1'
_space_group_IT_number 12
_space_group_name_Hall '-C 2y'
_cell_length_a 18.166
_cell_length_b 4.153
_cell_length_c 8.379
_cell_angle_alpha 90.00
_cell_angle_beta 103.26
_cell_angle_gamma 90.00
loop_
_atom_site_label
_atom_site_fract_x
_atom_site_fract_y
_atom_site_fract_z
_atom_site_occupancy
Pr1 0.001 0.000 0.257 1
Pr2 0.169 0.500 0.580 1
Pr3 0.170 0.500 0.090 1
P1 0.166 0.000 0.334 1
Pd1 0.000 0.500 0.000 1
S1 0.000 0.500 0.500 1
S2 0.167 0.000 0.834 1